(1)
DFT (PBE) results for crystalline AcPm2ScSe4 at its relaxed geometry.

Lattice parameters (Å, degrees): 4.138 7.421 7.229 108.61 90.00 90.00
Positions (direct):
Se (0.000, 0.726, 0.237)
Se (0.000, 0.274, 0.763)
Se (0.500, 0.271, 0.252)
Se (0.500, 0.729, 0.748)
Pm (0.000, 0.500, 0.500)
Pm (0.500, 0.000, 0.500)
Ac (0.000, 0.000, 0.000)
Sc (0.500, 0.500, 0.000)

Computed properties:
Space group: P2/m (10)
E_form (uncorrected), eV/f.u.: -13.74

(2)
DFT (PBE) results for crystalline Ac3Pm3ScSe8 at its relaxed geometry.

Lattice parameters (Å, degrees): 8.493 8.494 8.668 119.33 90.00 120.00
Positions (direct):
Ac (0.000, 0.500, 0.000)
Ac (0.500, 0.500, 0.000)
Ac (0.000, 0.000, 0.000)
Se (0.766, 0.532, 0.277)
Se (0.234, 0.468, 0.723)
Se (0.766, 0.011, 0.276)
Se (0.256, 0.512, 0.268)
Se (0.755, 0.989, 0.724)
Se (0.234, 0.989, 0.724)
Se (0.245, 0.011, 0.276)
Se (0.744, 0.488, 0.732)
Pm (0.500, 0.000, 0.500)
Pm (0.500, 0.500, 0.500)
Pm (0.000, 0.500, 0.500)
Sc (0.000, 0.000, 0.500)

Computed properties:
Space group: R-3m (166)
E_form (uncorrected), eV/f.u.: -27.70